A | First-principles (GGA-PBE) data for an optimized crystal structure of Ge3BrN, as listed in the Alexandria database.

Results
DOS(E_F)	4.27	states/eV/cell
space-group type	Pm-3m, No. 221

Unit cell a=5.147 b=5.147 c=5.147 alpha=90.00 beta=90.00 gamma=90.00
Atoms (fractional coordinates):
1 Ge 0.000 0.000 0.500
2 Ge 0.000 0.500 0.000
3 Ge 0.500 0.000 0.000
4 Br 0.000 0.000 0.000
5 N 0.500 0.500 0.500

---

B | First-principles (GGA-PBE) data for an optimized crystal structure of Ge3BrN, as listed in the Alexandria database.

Results
DOS(E_F)	3.65	states/eV/cell
space-group type	Pm-3m, No. 221

Unit cell a=4.635 b=4.635 c=4.635 alpha=90.00 beta=90.00 gamma=90.00
Atoms (fractional coordinates):
1 Br 0.500 0.500 0.500
2 N 0.000 0.000 0.000
3 Ge 0.000 0.000 0.500
4 Ge 0.500 0.000 0.000
5 Ge 0.000 0.500 0.000

---

Q: Which of them is the least stable? A: A.

---

A | First-principles (GGA-PBE) data for an optimized crystal structure of Ge2BrN, as listed in the Alexandria database.

Results
DOS(E_F)	2.17	states/eV/cell
space-group type	Fm-3m, No. 225

Unit cell a=4.656 b=4.656 c=4.656 alpha=60.00 beta=60.00 gamma=60.00
Atoms (fractional coordinates):
1 Ge 0.250 0.250 0.250
2 N 0.000 0.000 0.000
3 Ge 0.750 0.750 0.750
4 Br 0.500 0.500 0.500

---

B | First-principles (GGA-PBE) data for an optimized crystal structure of Ge2BrN, as listed in the Alexandria database.

Results
DOS(E_F)	0.03	states/eV/cell
space-group type	I-42d, No. 122

Unit cell a=6.794 b=6.794 c=5.942 alpha=55.13 beta=55.13 gamma=90.00
Atoms (fractional coordinates):
1 Br 0.750 0.250 0.500
2 Ge 0.375 0.489 0.750
3 Ge 0.239 0.625 0.250
4 Br 0.000 0.000 0.000
5 Ge 0.511 0.125 0.250
6 Ge 0.875 0.761 0.750
7 N 0.250 0.750 0.500
8 N 0.500 0.500 0.000

---

Q: Which of them is the least stable? A: A.

---

A | First-principles (GGA-PBE) data for an optimized crystal structure of GeBr3N, as listed in the Alexandria database.

Results
DOS(E_F)	2.17	states/eV/cell
space-group type	Pm-3m, No. 221

Unit cell a=4.716 b=4.716 c=4.716 alpha=90.00 beta=90.00 gamma=90.00
Atoms (fractional coordinates):
1 Ge 0.500 0.500 0.500
2 Br 0.000 0.000 0.500
3 N 0.000 0.000 0.000
4 Br 0.000 0.500 0.000
5 Br 0.500 0.000 0.000

---

B | First-principles (GGA-PBE) data for an optimized crystal structure of GeBr3N, as listed in the Alexandria database.

Results
DOS(E_F)	3.43	states/eV/cell
space-group type	Pm-3m, No. 221

Unit cell a=5.281 b=5.281 c=5.281 alpha=90.00 beta=90.00 gamma=90.00
Site moments in Bohr magnetons follow the coordinates.
Atoms (fractional coordinates):
1 Br 0.000 0.000 0.500  0.02
2 N 0.500 0.500 0.500  1.92
3 Br 0.500 0.000 0.000  0.02
4 Ge 0.000 0.000 0.000  0.00
5 Br 0.000 0.500 0.000  0.02

---

Q: Which of them is the least stable? A: A.